No. 1
First-principles (PBE) data for crystalline Ca2Ge3Au5 at its relaxed geometry, as listed in the Alexandria database.

Values from the calculation:
- Energy of formation from the pure elements: -390 meV/atom
- Symmetry: P-4m2 (115)

a b c (Å): 4.3792 4.3792 11.4684
angles (deg): 90.00 90.00 90.00
Closest atoms and distances in Å follow each position.
Positions (direct):
Ca (0.0000, 0.5000, 0.2267)  8 Au 3.20-3.40, 4 Ge 3.51
Ca (0.5000, 0.0000, 0.7733)  8 Au 3.20-3.40, 4 Ge 3.51
Ge (0.0000, 0.5000, 0.6293)  3 Au 2.46-2.64, 2 Ge 2.64
Ge (0.5000, 0.0000, 0.3707)  3 Au 2.46-2.64, 2 Ge 2.64
Ge (0.5000, 0.5000, 0.5000)  4 Ge 2.64
Au (0.0000, 0.0000, 0.0000)  8 Au 2.83-3.10
Au (0.0000, 0.0000, 0.5000)  4 Ge 2.64
Au (0.0000, 0.5000, 0.8438)  1 Ge 2.46
Au (0.5000, 0.0000, 0.1562)  1 Ge 2.46
Au (0.5000, 0.5000, 0.0000)  8 Au 2.83-3.10

=====

No. 2
First-principles (PBE) data for crystalline CePr5Y6 at its relaxed geometry, as listed in the Alexandria database.

Values from the calculation:
- Energy of formation from the pure elements: 30 meV/atom
- Symmetry: C2/m (12)

a b c (Å): 6.3119 6.3119 11.9077
angles (deg): 95.05 95.05 119.98
Closest atoms and distances in Å follow each position.
Positions (direct):
Ce (0.0000, 0.0000, 0.0000)  6 Y 3.58, 6 Pr 3.64
Pr (0.1673, 0.8327, 0.5000)  6 Y 3.62-3.63, 6 Pr 3.64-3.66
Pr (0.3333, 0.6667, 0.0000)  6 Y 3.60, 3 Pr 3.64, 3 Ce 3.64
Pr (0.5000, 0.5000, 0.5000)  6 Y 3.62-3.63, 6 Pr 3.64-3.65
Pr (0.6667, 0.3333, 0.0000)  6 Y 3.60, 3 Pr 3.64, 3 Ce 3.64
Pr (0.8327, 0.1673, 0.5000)  6 Y 3.62-3.63, 6 Pr 3.64-3.66
Y (0.0825, 0.4134, 0.2484)  1 Ce 3.58, 5 Pr 3.60-3.63, 6 Y 3.62-3.66
Y (0.2486, 0.2486, 0.7516)  1 Ce 3.58, 5 Pr 3.60-3.63, 6 Y 3.62-3.66
Y (0.4134, 0.0825, 0.2484)  1 Ce 3.58, 5 Pr 3.60-3.63, 6 Y 3.62-3.66
Y (0.5866, 0.9175, 0.7516)  1 Ce 3.58, 5 Pr 3.60-3.63, 6 Y 3.62-3.66
Y (0.7514, 0.7514, 0.2484)  1 Ce 3.58, 5 Pr 3.60-3.63, 6 Y 3.62-3.66
Y (0.9175, 0.5866, 0.7516)  1 Ce 3.58, 5 Pr 3.60-3.63, 6 Y 3.62-3.66

=====

No. 3
First-principles (PBE) data for crystalline PmHfAlIr2 at its relaxed geometry, as listed in the Alexandria database.

Values from the calculation:
- Energy of formation from the pure elements: -869 meV/atom
- Symmetry: I-4m2 (119)

a b c (Å): 6.5900 6.5900 6.5900
angles (deg): 143.27 143.27 52.92
Closest atoms and distances in Å follow each position.
Positions (direct):
Pm (0.0000, 0.0000, 0.0000)  8 Ir 3.22, 4 Hf 3.61, 4 Al 3.61
Hf (0.2500, 0.7500, 0.5000)  4 Ir 2.63, 4 Al 2.94
Al (0.7500, 0.2500, 0.5000)  4 Ir 2.63, 4 Hf 2.94
Ir (0.3871, 0.3871, 0.0000)  2 Hf 2.63, 2 Al 2.63, 1 Ir 2.66
Ir (0.6129, 0.6129, 0.0000)  2 Hf 2.63, 2 Al 2.63, 1 Ir 2.66

=====

No. 4
First-principles (PBE) data for crystalline SrSc3Os at its relaxed geometry, as listed in the Alexandria database.

Values from the calculation:
- Energy of formation from the pure elements: 1920 meV/atom
- Symmetry: Pm-3m (221)

a b c (Å): 4.8241 4.8241 4.8241
angles (deg): 90.00 90.00 90.00
Closest atoms and distances in Å follow each position.
Positions (direct):
Sr (0.0000, 0.0000, 0.0000)  6 Sc 2.41
Sc (0.0000, 0.0000, 0.5000)  2 Sr 2.41
Sc (0.0000, 0.5000, 0.0000)  2 Sr 2.41
Sc (0.5000, 0.0000, 0.0000)  2 Sr 2.41
Os (0.5000, 0.5000, 0.5000)  12 Sc 3.41

=====

No. 5
First-principles (PBE) data for crystalline FeGeN2 at its relaxed geometry, as listed in the Alexandria database.

Values from the calculation:
- Uncorrected formation energy: 1.176 eV per atom
- Symmetry: Fm-3m (225)

a b c (Å): 3.7227 3.7227 3.7227
angles (deg): 60.00 60.00 60.00
Closest atoms and distances in Å follow each position.
Positions (direct):
Fe (0.0000, 0.0000, 0.0000)  8 N 2.28
Ge (0.5000, 0.5000, 0.5000)  8 N 2.28
N (0.2500, 0.2500, 0.2500)  4 Ge 2.28, 4 Fe 2.28
N (0.7500, 0.7500, 0.7500)  4 Ge 2.28, 4 Fe 2.28

=====

No. 6
First-principles (PBE) data for crystalline Ac5ZnTe8 at its relaxed geometry, as listed in the Alexandria database.

Values from the calculation:
- Uncorrected formation energy: -1.390 eV per atom
- Symmetry: I-4 (82)

a b c (Å): 8.6241 8.6241 8.6241
angles (deg): 109.97 109.97 108.47
Closest atoms and distances in Å follow each position.
Positions (direct):
Ac (0.0000, 0.0000, 0.0000)  8 Te 3.34-3.52
Ac (0.2546, 0.6318, 0.1225)  8 Te 3.32-3.67
Ac (0.3682, 0.4907, 0.6228)  8 Te 3.32-3.67
Ac (0.5093, 0.1321, 0.8775)  8 Te 3.32-3.67
Ac (0.8679, 0.7454, 0.3772)  8 Te 3.32-3.67
Zn (0.7500, 0.2500, 0.5000)  4 Te 3.24
Te (0.1093, 0.2238, 0.7488)  1 Zn 3.24, 4 Ac 3.32-3.55
Te (0.1409, 0.7390, 0.7579)  5 Ac 3.34-3.51, 1 Zn 3.68
Te (0.2610, 0.0189, 0.4019)  5 Ac 3.34-3.51, 1 Zn 3.68
Te (0.4750, 0.3605, 0.2512)  1 Zn 3.24, 4 Ac 3.32-3.55
Te (0.6170, 0.8591, 0.5981)  5 Ac 3.34-3.51, 1 Zn 3.68
Te (0.6395, 0.8907, 0.1145)  1 Zn 3.24, 4 Ac 3.32-3.55
Te (0.7762, 0.5250, 0.8855)  1 Zn 3.24, 4 Ac 3.32-3.55
Te (0.9811, 0.3830, 0.2421)  5 Ac 3.34-3.51, 1 Zn 3.68

=====

No. 7
First-principles (PBE) data for crystalline Ti5In2Fe2Pd at its relaxed geometry, as listed in the Alexandria database.

Values from the calculation:
- Energy of formation from the pure elements: -259 meV/atom
- Symmetry: P4/mbm (127)

a b c (Å): 10.4242 10.4242 3.0571
angles (deg): 90.00 90.00 90.00
Closest atoms and distances in Å follow each position.
Positions (direct):
Ti (0.0000, 0.5000, 0.0000)  4 Fe 2.46
Ti (0.0690, 0.2062, 0.0000)  2 Fe 2.38
Ti (0.2062, 0.9310, 0.0000)  2 Fe 2.38
Ti (0.2938, 0.4310, 0.0000)  2 Fe 2.38
Ti (0.4310, 0.7062, 0.0000)  2 Fe 2.38
Ti (0.5000, 0.0000, 0.0000)  4 Fe 2.46
Ti (0.5690, 0.2938, 0.0000)  2 Fe 2.38
Ti (0.7062, 0.5690, 0.0000)  2 Fe 2.38
Ti (0.7938, 0.0690, 0.0000)  2 Fe 2.38
Ti (0.9310, 0.7938, 0.0000)  2 Fe 2.38
In (0.1735, 0.6735, 0.5000)  3 Fe 2.89-3.20, 10 Ti 2.98-3.21, 2 In 3.06
In (0.3265, 0.1735, 0.5000)  3 Fe 2.89-3.20, 10 Ti 2.98-3.21, 2 In 3.06
In (0.6735, 0.8265, 0.5000)  3 Fe 2.89-3.20, 10 Ti 2.98-3.21, 2 In 3.06
In (0.8265, 0.3265, 0.5000)  3 Fe 2.89-3.20, 10 Ti 2.98-3.21, 2 In 3.06
Fe (0.1304, 0.3696, 0.5000)  6 Ti 2.38-2.46
Fe (0.3696, 0.8696, 0.5000)  6 Ti 2.38-2.46
Fe (0.6304, 0.1304, 0.5000)  6 Ti 2.38-2.46
Fe (0.8696, 0.6304, 0.5000)  6 Ti 2.38-2.46
Pd (0.0000, 0.0000, 0.5000)  8 Ti 2.73, 2 Pd 3.06
Pd (0.5000, 0.5000, 0.5000)  8 Ti 2.73, 2 Pd 3.06

=====

No. 8
First-principles (PBE) data for crystalline LaMnTc2 at its relaxed geometry, as listed in the Alexandria database.

Values from the calculation:
- Energy of formation from the pure elements: 543 meV/atom
- Symmetry: P4/mmm (123)

a b c (Å): 4.6076 4.6076 3.3705
angles (deg): 90.00 90.00 90.00
Closest atoms and distances in Å follow each position.
Positions (direct):
La (0.0000, 0.0000, 0.0000)  8 Tc 2.85
Mn (0.5000, 0.5000, 0.0000)  8 Tc 2.85
Tc (0.0000, 0.5000, 0.5000)  4 Mn 2.85, 4 La 2.85
Tc (0.5000, 0.0000, 0.5000)  4 Mn 2.85, 4 La 2.85

=====

No. 9
First-principles (PBE) data for crystalline Ti4NiRh2 at its relaxed geometry, as listed in the Alexandria database.

Values from the calculation:
- Energy of formation from the pure elements: -440 meV/atom
- Symmetry: R-3m (166)

a b c (Å): 7.3508 7.3508 7.3508
angles (deg): 34.23 34.23 34.23
Closest atoms and distances in Å follow each position.
Positions (direct):
Ti (0.1198, 0.1198, 0.1198)  4 Rh 2.59-2.62, 3 Ni 2.68
Ti (0.3714, 0.3714, 0.3714)  4 Rh 2.60-2.70, 1 Ni 2.67
Ti (0.6286, 0.6286, 0.6286)  4 Rh 2.60-2.70, 1 Ni 2.67
Ti (0.8802, 0.8802, 0.8802)  4 Rh 2.59-2.62, 3 Ni 2.68
Ni (0.5000, 0.5000, 0.5000)  8 Ti 2.67-2.68
Rh (0.2460, 0.2460, 0.2460)  8 Ti 2.59-2.70
Rh (0.7540, 0.7540, 0.7540)  8 Ti 2.59-2.70

=====

No. 10
First-principles (PBE) data for crystalline SmErTmZr at its relaxed geometry, as listed in the Alexandria database.

Values from the calculation:
- Energy of formation from the pure elements: 211 meV/atom
- Symmetry: F-43m (216)

a b c (Å): 5.4760 5.4760 5.4760
angles (deg): 60.00 60.00 60.00
Closest atoms and distances in Å follow each position.
Positions (direct):
Sm (0.0000, 0.0000, 0.0000)  4 Er 3.35, 4 Tm 3.35
Er (0.2500, 0.2500, 0.2500)  4 Zr 3.35, 4 Sm 3.35
Tm (0.7500, 0.7500, 0.7500)  4 Zr 3.35, 4 Sm 3.35
Zr (0.5000, 0.5000, 0.5000)  4 Er 3.35, 4 Tm 3.35

=====

No. 11
First-principles (PBE) data for crystalline Rb2AgIO6 at its relaxed geometry, as listed in the Alexandria database.

Values from the calculation:
- Uncorrected formation energy: -0.590 eV per atom
- Symmetry: Fm-3m (225)

a b c (Å): 6.1829 6.1829 6.1829
angles (deg): 60.00 60.00 60.00
Closest atoms and distances in Å follow each position.
Positions (direct):
Rb (0.2500, 0.2500, 0.2500)  12 O 3.10
Rb (0.7500, 0.7500, 0.7500)  12 O 3.10
Ag (0.0000, 0.0000, 0.0000)  6 O 2.47
I (0.5000, 0.5000, 0.5000)  6 O 1.90
O (0.2825, 0.2825, 0.7175)  1 I 1.90
O (0.2825, 0.7175, 0.2825)  1 I 1.90
O (0.2825, 0.7175, 0.7175)  1 I 1.90
O (0.7175, 0.2825, 0.2825)  1 I 1.90
O (0.7175, 0.2825, 0.7175)  1 I 1.90
O (0.7175, 0.7175, 0.2825)  1 I 1.90

=====

| no. | density of states at the Fermi level (states/eV/f.u.) | uncorrected energy (Ha/atom) |
| --- | --- | --- |
| 1 | 2.96 | -0.140 |
| 2 | 18.52 | -0.209 |
| 3 | 2.63 | -0.298 |
| 4 | 7.12 | -0.164 |
| 5 | 0.95 | -0.230 |
| 6 | 4.04 | -0.174 |
| 7 | 6.25 | -0.256 |
| 8 | 5.10 | -0.300 |
| 9 | 9.35 | -0.290 |
| 10 | 7.60 | -0.197 |
| 11 | 9.10 | -0.154 |